Pr2Nd2Ho5 | PBE | optimized geometry

abc: 3.5091 9.8557 12.3394
angles: 133.61 98.17 90.00
Atoms (fractional coordinates):
Pr1 0.8354 0.8938 0.6708
Pr2 0.1646 0.1062 0.3292
Nd1 0.4945 0.6772 0.9890
Nd2 0.5055 0.3228 0.0110
Ho1 0.6717 0.8031 0.3434
Ho2 0.3283 0.1969 0.6566
Ho3 0.8257 0.5174 0.6515
Ho4 0.1743 0.4826 0.3485
Ho5 0.0000 0.0000 0.0000

## Properties
Magnetization: 0.000 μB per atom
Energy above the most stable polymorph in this dataset: 0 meV/atom